# Co2ReGeO, optimized geometry, DFT PBE+U
data_Co2ReGeO
_chemical_formula_sum 'Co2 Re1 Ge1 O1'
_cell_length_a 4.883
_cell_length_b 4.883
_cell_length_c 3.700
_cell_angle_alpha 90.00
_cell_angle_beta 90.00
_cell_angle_gamma 90.00
_space_group_name_H-M_alt 'P 4/m m m'
_space_group_IT_number 123
_space_group_name_Hall '-P 4 2'
loop_
_atom_site_label
_atom_site_fract_x
_atom_site_fract_y
_atom_site_fract_z
Co1 0.000 0.500 0.000
Re1 0.000 0.000 0.000
Ge1 0.500 0.500 0.500
O1 0.000 0.000 0.500
# **Electronic total energy**: -28.8 eV/cell